(1)
! KInS2 (PBE-GGA, optimized geometry); values from VASP
! SG = No. 122
! total DFT energy (no corrections) = -3.94 eV per atom
&SYSTEM
  ibrav = 0, nat = 8, ntyp = 3
/
ATOMIC_SPECIES
K 39.10 K.upf
S 32.06 S.upf
In 114.82 In.upf
CELL_PARAMETERS angstrom
7.229 0.000 0.000
0.000 7.229 0.000
3.615 3.615 4.590
ATOMIC_POSITIONS crystal
K 0.500 0.500 0.000
K 0.250 0.750 0.500
S 0.375 0.301 0.750
S 0.875 0.949 0.750
S 0.699 0.125 0.250
S 0.051 0.625 0.250
In 0.000 0.000 0.000
In 0.750 0.250 0.500

---

(2)
! KInS (PBE-GGA, optimized geometry); values from VASP
! SG = No. 70
! ΔE to the lowest computed polymorph = 305 meV/atom
&SYSTEM
  ibrav = 0, nat = 12, ntyp = 3
/
ATOMIC_SPECIES
K 39.10 K.upf
In 114.82 In.upf
S 32.06 S.upf
CELL_PARAMETERS angstrom
-6.589 -2.743 2.111
1.877 -6.652 -2.760
5.380 2.708 7.179
ATOMIC_POSITIONS crystal
K 0.363 0.363 0.726
K 0.887 0.387 0.774
K 0.613 0.113 0.226
K 0.637 0.637 0.274
In 0.625 0.875 0.750
In 0.125 0.875 0.750
In 0.125 0.375 0.250
In 0.125 0.875 0.250
S 0.727 0.727 0.000
S 0.977 0.477 0.500
S 0.273 0.273 0.000
S 0.523 0.023 0.500

---

(3)
! K2InS3 (PBE-GGA, optimized geometry); values from VASP
! SG = No. 36
! total DFT energy (no corrections) = -3.63 eV per atom
&SYSTEM
  ibrav = 0, nat = 12, ntyp = 3
/
ATOMIC_SPECIES
In 114.82 In.upf
K 39.10 K.upf
S 32.06 S.upf
CELL_PARAMETERS angstrom
-0.527 -4.882 -4.417
-1.548 -5.241 5.978
-7.066 3.049 -2.527
ATOMIC_POSITIONS crystal
In 0.562 0.134 0.134
In 0.062 0.866 0.866
K 0.495 0.491 0.814
K 0.995 0.186 0.509
K 0.995 0.509 0.186
K 0.495 0.814 0.491
S 0.484 0.195 0.447
S 0.438 0.893 0.893
S 0.984 0.805 0.553
S 0.938 0.107 0.107
S 0.984 0.553 0.805
S 0.484 0.447 0.195

---

(4)
! K3In2S4 (PBE-GGA, optimized geometry); values from VASP
! SG = No. 15
! total DFT energy (no corrections) = -3.70 eV per atom
&SYSTEM
  ibrav = 0, nat = 18, ntyp = 3
/
ATOMIC_SPECIES
In 114.82 In.upf
K 39.10 K.upf
S 32.06 S.upf
CELL_PARAMETERS angstrom
7.626 -0.056 -0.040
0.280 8.699 -0.507
0.280 2.323 8.399
ATOMIC_POSITIONS crystal
In 0.594 0.820 0.579
In 0.406 0.180 0.421
In 0.906 0.421 0.180
In 0.094 0.579 0.820
K 0.061 0.015 0.747
K 0.561 0.747 0.015
K 0.250 0.609 0.391
K 0.939 0.985 0.253
K 0.750 0.391 0.609
K 0.439 0.253 0.985
S 0.924 0.735 0.588
S 0.017 0.702 0.059
S 0.517 0.059 0.702
S 0.483 0.941 0.298
S 0.424 0.588 0.735
S 0.576 0.412 0.265
S 0.983 0.298 0.941
S 0.076 0.265 0.412

---

(5)
! KInS4 (PBE-GGA, optimized geometry); values from VASP
! SG = No. 88
! total DFT energy (no corrections) = -3.76 eV per atom
&SYSTEM
  ibrav = 0, nat = 12, ntyp = 3
/
ATOMIC_SPECIES
S 32.06 S.upf
K 39.10 K.upf
In 114.82 In.upf
CELL_PARAMETERS angstrom
-3.583 2.796 3.159
-4.084 -1.257 -3.518
-6.717 -11.773 7.650
ATOMIC_POSITIONS crystal
S 0.012 0.854 0.134
S 0.646 0.987 0.866
S 0.487 0.488 0.366
S 0.354 0.013 0.134
S 0.646 0.146 0.366
S 0.513 0.512 0.634
S 0.988 0.146 0.866
S 0.354 0.854 0.634
K 0.875 0.625 0.750
K 0.125 0.375 0.250
In 0.625 0.875 0.250
In 0.375 0.125 0.750

---

(6)
! KInS2 (PBE-GGA, optimized geometry); values from VASP
! SG = No. 119
! total DFT energy (no corrections) = -3.92 eV per atom
&SYSTEM
  ibrav = 0, nat = 4, ntyp = 3
/
ATOMIC_SPECIES
In 114.82 In.upf
S 32.06 S.upf
K 39.10 K.upf
CELL_PARAMETERS angstrom
-1.113 1.952 -3.205
-3.682 0.078 1.327
3.693 5.062 4.190
ATOMIC_POSITIONS crystal
In 0.471 0.631 0.728
S 0.860 0.520 0.505
S 0.583 0.242 0.951
K 0.221 0.882 0.228

---

(7)
! KIn2S4 (PBE-GGA, optimized geometry); values from VASP
! SG = No. 63
! total DFT energy (no corrections) = -3.81 eV per atom
&SYSTEM
  ibrav = 0, nat = 14, ntyp = 3
/
ATOMIC_SPECIES
S 32.06 S.upf
In 114.82 In.upf
K 39.10 K.upf
CELL_PARAMETERS angstrom
-3.770 -1.016 0.061
2.604 -1.779 6.355
-2.981 11.327 4.393
ATOMIC_POSITIONS crystal
S 0.762 0.524 0.114
S 0.238 0.476 0.886
S 0.060 0.120 0.250
S 0.940 0.880 0.750
S 0.238 0.476 0.614
S 0.500 0.000 0.500
S 0.500 0.000 0.000
S 0.762 0.524 0.386
In 0.861 0.722 0.935
In 0.861 0.722 0.565
In 0.139 0.278 0.065
In 0.139 0.278 0.435
K 0.390 0.780 0.250
K 0.610 0.220 0.750

---

(8)
! KIn5S8 (PBE-GGA, optimized geometry); values from VASP
! SG = No. 8
! total DFT energy (no corrections) = -4.08 eV per atom
&SYSTEM
  ibrav = 0, nat = 14, ntyp = 3
/
ATOMIC_SPECIES
S 32.06 S.upf
In 114.82 In.upf
K 39.10 K.upf
CELL_PARAMETERS angstrom
-8.396 4.859 -1.774
-9.143 1.396 -3.423
-5.351 -2.356 7.375
ATOMIC_POSITIONS crystal
S 0.412 0.412 0.117
S 0.935 0.935 0.777
S 0.759 0.759 0.157
S 0.587 0.587 0.882
S 0.066 0.066 0.222
S 0.240 0.240 0.845
S 0.834 0.834 0.471
S 0.164 0.164 0.531
In 0.359 0.359 0.896
In 0.999 0.999 0.001
In 0.716 0.716 0.664
In 0.642 0.642 0.101
In 0.284 0.284 0.338
K 0.522 0.522 0.514

---

(9)
! KInS (PBE-GGA, optimized geometry); values from VASP
! SG = No. 156
! ΔE to the lowest computed polymorph = 58 meV/atom
&SYSTEM
  ibrav = 0, nat = 3, ntyp = 3
/
ATOMIC_SPECIES
K 39.10 K.upf
S 32.06 S.upf
In 114.82 In.upf
CELL_PARAMETERS angstrom
-3.539 0.590 -5.324
-2.607 -2.834 1.419
-0.619 3.966 0.851
ATOMIC_POSITIONS crystal
K 0.618 0.667 0.333
S 0.303 0.333 0.667
In 0.079 0.000 0.000

---

(10)
! K2InS4 (PBE-GGA, optimized geometry); values from VASP
! SG = No. 139
! total DFT energy (no corrections) = -3.38 eV per atom
&SYSTEM
  ibrav = 0, nat = 7, ntyp = 3
/
ATOMIC_SPECIES
In 114.82 In.upf
K 39.10 K.upf
S 32.06 S.upf
CELL_PARAMETERS angstrom
5.249 0.000 0.000
0.000 5.249 0.000
2.625 2.625 7.864
ATOMIC_POSITIONS crystal
In 0.000 0.000 0.000
K 0.364 0.364 0.272
K 0.636 0.636 0.728
S 0.842 0.842 0.316
S 0.158 0.158 0.684
S 0.000 0.500 0.000
S 0.500 0.000 0.000

---

(11)
! K2InSb2S6 (PBE-GGA, optimized geometry); values from VASP
! SG = No. 12
! total DFT energy (no corrections) = -4.07 eV per atom
&SYSTEM
  ibrav = 0, nat = 11, ntyp = 4
/
ATOMIC_SPECIES
K 39.10 K.upf
S 32.06 S.upf
Sb 121.76 Sb.upf
In 114.82 In.upf
CELL_PARAMETERS angstrom
-4.313 -5.111 -0.952
5.554 0.459 -3.818
3.447 -2.639 6.738
ATOMIC_POSITIONS crystal
K 0.831 0.169 0.000
K 0.169 0.831 0.000
S 0.252 0.252 0.305
S 0.748 0.748 0.695
S 0.064 0.395 0.696
S 0.936 0.605 0.304
S 0.605 0.936 0.304
S 0.395 0.064 0.696
Sb 0.668 0.332 0.500
Sb 0.332 0.668 0.500
In 0.000 0.000 0.500

---

(12)
! KInSbS4 (PBE-GGA, optimized geometry); values from VASP
! SG = No. 82
! total DFT energy (no corrections) = -3.98 eV per atom
&SYSTEM
  ibrav = 0, nat = 7, ntyp = 4
/
ATOMIC_SPECIES
Sb 121.76 Sb.upf
S 32.06 S.upf
K 39.10 K.upf
In 114.82 In.upf
CELL_PARAMETERS angstrom
-1.128 -1.869 -6.746
6.888 0.920 -1.407
-2.087 -3.838 5.139
ATOMIC_POSITIONS crystal
Sb 0.250 0.750 0.500
S 0.877 0.459 0.297
S 0.541 0.579 0.703
S 0.162 0.123 0.703
S 0.421 0.838 0.297
K 0.000 0.000 0.000
In 0.500 0.500 0.000